1.
Material: NdZnSn
Method: DFT, PBE-GGA
State: relaxed

The total energy comes out at -3.760 eV/atom.

The space group is P-3m1 (No. 164) and the conventional cell measures 4.8768, 4.8768 and 7.3384 Å, with angles of 90.00, 90.00 and 120.00 degrees. The distinct sites, in fractional coordinates, are Nd at (0.0000, 0.0000, 0.2329), Zn at (0.3333, 0.6667, 0.0062) and Sn at (0.3333, 0.6667, 0.4685).


2.
Material: NdZnSn
Method: DFT, PBE-GGA
State: relaxed

The total energy comes out at -3.806 eV/atom.

The space group is F-43m (No. 216) and the conventional cell measures 6.7652, 6.7652 and 6.7652 Å, with angles of 90.00, 90.00 and 90.00 degrees. The distinct sites, in fractional coordinates, are Nd at (0.0000, 0.0000, 0.0000), Zn at (0.2500, 0.2500, 0.7500) and Sn at (0.0000, 0.0000, 0.5000).


3.
Material: NdZnSn
Method: DFT, PBE-GGA
State: relaxed

The total energy comes out at -3.960 eV/atom.

The space group is P-6m2 (No. 187) and the conventional cell measures 4.5976, 4.5976 and 12.2204 Å, with angles of 90.00, 90.00 and 120.00 degrees. The distinct sites, in fractional coordinates, are Nd at (0.0000, 0.0000, 0.0000), Nd at (0.0000, 0.0000, 0.3310), Zn at (0.3333, 0.6667, 0.5000), Zn at (0.6667, 0.3333, 0.1263), Sn at (0.3333, 0.6667, 0.1776) and Sn at (0.6667, 0.3333, 0.5000).


4.
Material: NdZnSn
Method: DFT, PBE-GGA
State: relaxed

The total energy comes out at -3.986 eV/atom.

The space group is P6_3/mmc (No. 194) and the conventional cell measures 4.5775, 4.5775 and 16.5368 Å, with angles of 90.00, 90.00 and 120.00 degrees. The distinct sites, in fractional coordinates, are Nd at (0.0000, 0.0000, 0.0000), Nd at (0.0000, 0.0000, 0.2500), Zn at (0.3333, 0.6667, 0.1571) and Sn at (0.3333, 0.6667, 0.6155).


5.
Material: NdZnSn2
Method: DFT, PBE-GGA
State: relaxed

The total energy comes out at -4.007 eV/atom.

The space group is P4/nmm (No. 129, origin choice 2) and the conventional cell measures 4.4472, 4.4472 and 10.0385 Å, with angles of 90.00, 90.00 and 90.00 degrees. The distinct sites, in fractional coordinates, are Nd at (0.2500, 0.2500, 0.2472), Zn at (0.2500, 0.7500, 0.0000), Sn at (0.2500, 0.2500, 0.8236) and Sn at (0.2500, 0.7500, 0.5000).


6.
Material: Nd2Zn2Sn
Method: DFT, PBE-GGA
State: relaxed

The total energy comes out at -3.711 eV/atom.

The space group is P4/mbm (No. 127) and the conventional cell measures 7.3024, 7.3024 and 4.6276 Å, with angles of 90.00, 90.00 and 90.00 degrees. The distinct sites, in fractional coordinates, are Nd at (0.1744, 0.3256, 0.0000), Zn at (0.1223, 0.6223, 0.5000) and Sn at (0.0000, 0.0000, 0.5000).


7.
Material: NdZnSn2
Method: DFT, PBE-GGA
State: relaxed

The total energy comes out at -3.969 eV/atom.

The space group is P4/mmm (No. 123) and the conventional cell measures 4.6575, 4.6575 and 4.5524 Å, with angles of 90.00, 90.00 and 90.00 degrees. The distinct sites, in fractional coordinates, are Nd at (0.0000, 0.0000, 0.0000), Zn at (0.5000, 0.5000, 0.0000) and Sn at (0.0000, 0.5000, 0.5000).


8.
Material: Nd2Zn5Sn
Method: DFT, PBE-GGA
State: relaxed

The total energy comes out at -2.929 eV/atom.

The space group is Cmcm (No. 63) and the conventional cell measures 4.4841, 16.5554 and 9.0618 Å, with angles of 90.00, 90.00 and 90.00 degrees. The distinct sites, in fractional coordinates, are Nd at (0.0000, 0.0000, 0.0000), Nd at (0.0000, 0.2057, 0.2500), Zn at (0.0000, 0.1850, 0.6085), Zn at (0.0000, 0.3433, 0.5165), Zn at (0.0000, 0.3949, 0.2500) and Sn at (0.0000, 0.4449, 0.7500).


9.
Material: Nd4ZnSn
Method: DFT, PBE-GGA
State: relaxed

The total energy comes out at -4.273 eV/atom.

The space group is Cmcm (No. 63) and the conventional cell measures 5.6550, 21.0339 and 6.5049 Å, with angles of 90.00, 90.00 and 90.00 degrees. The distinct sites, in fractional coordinates, are Nd at (0.0000, 0.0570, 0.2500), Nd at (0.0000, 0.2055, 0.0031), Nd at (0.0000, 0.3936, 0.2500), Zn at (0.0000, 0.0815, 0.7500) and Sn at (0.0000, 0.3489, 0.7500).


10.
Material: Nd2ZnSn
Method: DFT, PBE-GGA
State: relaxed

The total energy comes out at -4.214 eV/atom.

The space group is P4/mmm (No. 123) and the conventional cell measures 5.1552, 5.1552 and 4.0940 Å, with angles of 90.00, 90.00 and 90.00 degrees. The distinct sites, in fractional coordinates, are Nd at (0.0000, 0.5000, 0.0000), Zn at (0.0000, 0.0000, 0.5000) and Sn at (0.5000, 0.5000, 0.5000).


11.
Material: Nd2ZnSn2
Method: DFT, PBE-GGA
State: relaxed

The total energy comes out at -4.339 eV/atom.

The space group is Cmc2_1 (No. 36) and the conventional cell measures 4.6502, 16.9364 and 7.3509 Å, with angles of 90.00, 90.00 and 90.00 degrees. The distinct sites, in fractional coordinates, are Nd at (0.0000, 0.0178, 0.0000), Nd at (0.0000, 0.2085, 0.3104), Zn at (0.0000, 0.4088, 0.1667), Sn at (0.0000, 0.1687, 0.7493) and Sn at (0.0000, 0.4264, 0.7773).


12.
Material: Nd3ZnSn
Method: DFT, PBE-GGA
State: relaxed

The total energy comes out at -4.297 eV/atom.

The space group is C2/m (No. 12) and the conventional cell measures 14.7778, 4.5127 and 8.9824 Å, with angles of 90.00, 91.71 and 90.00 degrees. The distinct sites, in fractional coordinates, are Nd at (0.0495, 0.0000, 0.2976), Nd at (0.0975, 0.5000, 0.9213), Nd at (0.2398, 0.0000, 0.6898), Zn at (0.2067, 0.0000, 0.0614) and Sn at (0.0985, 0.5000, 0.5576).